# 1
## PuPa4S5 (PBE)

Data for a relaxed structure of PuPa4S5.

Results
- density (Mg/m³) = 10.5
- raw formation energy (eV per atom) = -1.637
- DOS(E_F) (states/eV per cell) = 17.213
- E (eV per atom) = -8.9320

abc: 6.757 6.757 6.757
angles: 99.61 99.61 131.77
Fractional positions:
1 Pu 0.000 0.000 0.000
2 Pa 0.200 0.601 0.801
3 Pa 0.399 0.200 0.599
4 Pa 0.601 0.800 0.401
5 Pa 0.800 0.399 0.199
6 S 0.100 0.299 0.399
7 S 0.299 0.900 0.199
8 S 0.500 0.500 0.000
9 S 0.701 0.100 0.801
10 S 0.900 0.701 0.601

# 2
## PmTm2Tl3Te6 (PBE)

Data for a relaxed structure of PmTm2Tl3Te6.

Results
- density (Mg/m³) = 7.3
- raw formation energy (eV per atom) = -1.041
- E (eV per atom) = -4.3450

abc: 7.717 7.717 8.580
angles: 98.63 98.63 119.99
Fractional positions:
1 Pm 0.000 0.000 0.000
2 Tm 0.333 0.667 0.000
3 Tm 0.667 0.333 0.000
4 Tl 0.164 0.836 0.500
5 Tl 0.500 0.500 0.500
6 Tl 0.836 0.164 0.500
7 Te 0.071 0.414 0.214
8 Te 0.272 0.272 0.789
9 Te 0.414 0.071 0.214
10 Te 0.586 0.929 0.786
11 Te 0.728 0.728 0.211
12 Te 0.929 0.586 0.786

# 3
## CaV3Ga (PBE)

Data for a relaxed structure of CaV3Ga.

Results
- density (Mg/m³) = 3.8
- DOS(E_F) (states/eV per cell) = 10.474
- E (eV per atom) = -5.5239
- polymorph energy (0 for the lowest one) (eV/atom) = 0.000

abc: 4.879 4.879 4.879
angles: 90.00 90.00 90.00
Fractional positions:
1 Ca 0.000 0.000 0.000
2 V 0.000 0.500 0.500
3 V 0.500 0.000 0.500
4 V 0.500 0.500 0.000
5 Ga 0.500 0.500 0.500

# 4
## TcNi2Ag (PBE)

Data for a relaxed structure of TcNi2Ag.

Results
- density (Mg/m³) = 9.8
- DOS(E_F) (states/eV per cell) = 4.351
- E (eV per atom) = -5.8832
- polymorph energy (0 for the lowest one) (eV/atom) = 0.202

abc: 4.435 4.435 4.997
angles: 97.09 97.09 34.36
Fractional positions:
1 Tc 0.000 0.000 0.000
2 Ni 0.253 0.253 0.785
3 Ni 0.747 0.747 0.215
4 Ag 0.500 0.500 0.500

# 5
## TiTlCu2F8 (PBE)

Data for a relaxed structure of TiTlCu2F8.

Results
- density (Mg/m³) = 4.6
- raw formation energy (eV per atom) = -2.280
- DOS(E_F) (states/eV per cell) = 4.780
- E (eV per atom) = -5.0652

abc: 5.178 5.178 7.815
angles: 105.59 105.59 74.73
Fractional positions:
1 Ti 0.000 0.000 0.000
2 Tl 0.000 0.000 0.500
3 Cu 0.448 0.448 0.287
4 Cu 0.552 0.552 0.713
5 F 0.192 0.768 0.821
6 F 0.232 0.808 0.179
7 F 0.244 0.244 0.064
8 F 0.344 0.344 0.495
9 F 0.656 0.656 0.505
10 F 0.756 0.756 0.936
11 F 0.768 0.192 0.821
12 F 0.808 0.232 0.179

# 6
## HgIr2Br (PBE)

Data for a relaxed structure of HgIr2Br.

Results
- density (Mg/m³) = 12.9
- raw formation energy (eV per atom) = 0.966
- DOS(E_F) (states/eV per cell) = 7.654
- E (eV per atom) = -3.9583
- polymorph energy (0 for the lowest one) (eV/atom) = 0.544

abc: 9.053 9.053 9.053
angles: 151.31 151.31 41.03
Fractional positions:
1 Hg 0.000 0.000 0.000
2 Hg 0.750 0.250 0.500
3 Ir 0.226 0.625 0.101
4 Ir 0.375 0.476 0.601
5 Ir 0.524 0.125 0.899
6 Ir 0.875 0.774 0.399
7 Br 0.250 0.750 0.500
8 Br 0.500 0.500 0.000

# 7
## Y3Ho9Tm2 (PBE)

Data for a relaxed structure of Y3Ho9Tm2.

Results
- density (Mg/m³) = 7.7
- DOS(E_F) (states/eV per cell) = 22.420
- E (eV per atom) = -4.8572

abc: 6.223 8.619 8.746
angles: 80.14 75.71 87.73
Fractional positions:
1 Y 0.000 0.000 0.000
2 Y 0.167 0.331 0.197
3 Y 0.473 0.747 0.553
4 Ho 0.029 0.758 0.365
5 Ho 0.139 0.063 0.559
6 Ho 0.255 0.372 0.768
7 Ho 0.321 0.677 0.971
8 Ho 0.444 0.969 0.169
9 Ho 0.574 0.036 0.770
10 Ho 0.700 0.591 0.201
11 Ho 0.707 0.128 0.367
12 Ho 0.889 0.700 0.781
13 Tm 0.695 0.327 0.967
14 Tm 0.823 0.406 0.567

# 8
## Li4Zn3Cu (PBE)

Data for a relaxed structure of Li4Zn3Cu.

Results
- density (Mg/m³) = 3.8
- DOS(E_F) (states/eV per cell) = 3.068
- E (eV per atom) = -2.0054
- polymorph energy (0 for the lowest one) (eV/atom) = 0.075

abc: 11.026 11.026 2.716
angles: 90.00 90.00 157.92
Fractional positions:
1 Li 0.098 0.902 0.000
2 Li 0.217 0.783 0.000
3 Li 0.783 0.217 0.000
4 Li 0.902 0.098 0.000
5 Zn 0.337 0.663 0.500
6 Zn 0.500 0.500 0.000
7 Zn 0.663 0.337 0.500
8 Cu 0.000 0.000 0.500

# 9
## MnTe5 (PBE)

Data for a relaxed structure of MnTe5.

Results
- density (Mg/m³) = 6.3
- raw formation energy (eV per atom) = 0.236
- DOS(E_F) (states/eV per cell) = 6.155
- E (eV per atom) = -3.9105

abc: 7.999 7.999 3.320
angles: 90.00 90.00 120.00
Fractional positions:
1 Mn 0.000 0.000 0.000
2 Te 0.000 0.749 0.500
3 Te 0.251 0.251 0.500
4 Te 0.333 0.667 0.000
5 Te 0.667 0.333 0.000
6 Te 0.749 0.000 0.500

# 10
## Tb3AlPt12 (PBE)

Data for a relaxed structure of Tb3AlPt12.

Results
- density (Mg/m³) = 17.4
- DOS(E_F) (states/eV per cell) = 14.526
- E (eV per atom) = -6.5578

abc: 4.097 4.097 16.191
angles: 90.00 90.00 90.00
Fractional positions:
1 Tb 0.000 0.000 0.000
2 Tb 0.000 0.000 0.256
3 Tb 0.000 0.000 0.744
4 Al 0.000 0.000 0.500
5 Pt 0.000 0.500 0.129
6 Pt 0.000 0.500 0.387
7 Pt 0.000 0.500 0.613
8 Pt 0.000 0.500 0.871
9 Pt 0.500 0.000 0.129
10 Pt 0.500 0.000 0.387
11 Pt 0.500 0.000 0.613
12 Pt 0.500 0.000 0.871
13 Pt 0.500 0.500 0.000
14 Pt 0.500 0.500 0.258
15 Pt 0.500 0.500 0.500
16 Pt 0.500 0.500 0.742

# 11
## RhIF2 (PBE)

Data for a relaxed structure of RhIF2.

Results
- density (Mg/m³) = 7.1
- raw formation energy (eV per atom) = -0.402
- DOS(E_F) (states/eV per cell) = 6.269
- E (eV per atom) = -3.5634
- polymorph energy (0 for the lowest one) (eV/atom) = 0.222

abc: 8.759 8.759 8.759
angles: 154.41 154.41 36.50
Fractional positions:
1 Rh 0.000 0.000 0.000
2 Rh 0.750 0.250 0.500
3 I 0.250 0.750 0.500
4 I 0.500 0.500 0.000
5 F 0.101 0.625 0.976
6 F 0.375 0.351 0.476
7 F 0.649 0.125 0.024
8 F 0.875 0.899 0.524

# 12
## In2PtPb (PBE)

Data for a relaxed structure of In2PtPb.

Results
- density (Mg/m³) = 9.4
- DOS(E_F) (states/eV per cell) = 1.521
- E (eV per atom) = -3.9744

abc: 5.272 3.707 6.284
angles: 90.00 114.57 90.00
Fractional positions:
1 In 0.000 0.000 0.000
2 In 0.305 0.500 0.611
3 Pt 0.826 0.500 0.654
4 Pb 0.641 0.000 0.285